(1)
Material: MgCrCl
Method: DFT, GGA-PBE
State: relaxed

Summary:
E_form (uncorrected) = -0.024 eV/atom
distance to the lowest polymorph of the same formula = 0.0422 eV per atom

abc: 3.2195 3.2195 11.5474
angles: 90.00 90.00 90.00
With the nearest neighbours (Å) after each atom.
Space group I4mm (No. 107)
Symmetry-distinct sites (fractional):
Mg1 0.0000 0.0000 0.0000 x2  4 Cr 2.97, 4 Cl 2.98, 4 Mg 3.22
Cr1 0.0000 0.0000 0.3350 x2  4 Mg 2.97, 4 Cl 3.00, 4 Cr 3.22
Cl1 0.0000 0.0000 0.6661 x2  4 Mg 2.98, 4 Cr 3.00, 4 Cl 3.22

=====

(2)
Material: MgCr2Cl
Method: DFT, GGA-PBE
State: relaxed

Summary:
E_form (uncorrected) = 0.577 eV/atom
distance to the lowest polymorph of the same formula = 0.5919 eV per atom

abc: 4.0907 4.0907 9.5566
angles: 90.00 90.00 90.00
With the nearest neighbours (Å) after each atom.
Space group I4/mmm (No. 139)
Symmetry-distinct sites (fractional):
Mg1 0.0000 0.0000 0.0000 x2  4 Cl 2.89, 8 Cr 3.15
Cr1 0.0000 0.5000 0.2500 x4  4 Cr 2.89, 4 Cl 3.15, 4 Mg 3.15
Cl1 0.0000 0.0000 0.5000 x2  4 Mg 2.89, 8 Cr 3.15

=====

- Which of these has the highest E_form (uncorrected)?
  MgCr2Cl

=====

- Number 2 is which compound?
  MgCr2Cl

=====

- Among the records above, which one has the lowest distance to the lowest polymorph of the same formula?
  MgCrCl

=====

- Among the records above, which one has the highest E_form (uncorrected)?
  MgCr2Cl